(a)
Density functional theory data (GGA-PBE) for NbAlAsO after structural relaxation.

```
NbAlAsO
1.0
3.5485 0.0000 0.0000
0.0000 3.5485 0.0000
0.0000 0.0000 9.5979
Nb Al As O
2 2 2 2
Cartesian
0.8871 0.8871 1.2819
2.6614 2.6614 8.3161
0.8871 2.6614 4.7990
2.6614 0.8871 4.7990
0.8871 0.8871 7.0648
2.6614 2.6614 2.5331
0.8871 2.6614 0.0000
2.6614 0.8871 0.0000
```

---

(b)
Density functional theory data (GGA-PBE) for NbAlAsO after structural relaxation.

```
NbAlAsO
1.0
3.6868 0.0000 0.0000
0.0000 6.4612 0.0000
0.0000 0.0000 5.1883
Nb Al As O
2 2 2 2
Cartesian
0.0000 0.7572 0.0000
0.0000 5.7040 2.5942
1.8434 3.2241 3.8863
1.8434 3.2371 1.2922
0.0000 1.8345 2.5940
0.0000 4.6268 5.1882
1.8434 1.9106 0.0021
1.8434 4.5507 2.5963
```

---

Most stable: (b)

---

(a)
Density functional theory data (GGA-PBE) for AlAsOsO after structural relaxation.

```
AlAsOsO
1.0
3.6399 0.0000 0.0000
0.0000 5.5823 0.0000
0.0000 0.0000 5.6286
Al As Os O
2 2 2 2
Cartesian
0.0000 1.0160 0.0000
0.0000 4.5663 2.8143
0.0000 1.5439 2.6265
0.0000 4.0383 5.4408
1.8200 2.7565 3.8947
1.8200 2.8257 1.0804
1.8200 1.1598 5.2971
1.8200 4.4224 2.4828
```

---

(b)
Density functional theory data (GGA-PBE) for AlAsOsO after structural relaxation.

```
AlAsOsO
1.0
4.3689 0.0000 0.0000
0.0000 4.8819 0.0000
0.0000 0.0000 5.4753
Al As Os O
2 2 2 2
Cartesian
0.0000 0.9316 0.0000
0.0000 3.9502 2.7377
2.1844 1.7881 4.2932
2.1844 3.0938 1.5555
2.1844 0.6615 2.1203
2.1844 4.2204 4.8579
0.0000 0.6105 1.7687
0.0000 4.2714 4.5063
```

---

Most stable: (a)

---

(a)
Density functional theory data (GGA-PBE) for PaAlAsO after structural relaxation.

```
PaAlAsO
1.0
3.9444 0.0000 0.0000
0.0000 4.8203 0.0000
0.0000 0.0000 7.2124
Pa Al As O
2 2 2 2
Cartesian
0.0000 0.8725 0.0000
0.0000 3.9478 3.6062
1.9722 1.5864 2.4642
1.9722 3.2339 6.0704
1.9722 0.8735 4.9803
1.9722 3.9467 1.3741
0.0000 1.5269 2.4915
0.0000 3.2933 6.0977
```

---

(b)
Density functional theory data (GGA-PBE) for PaAlAsO after structural relaxation.

```
PaAlAsO
1.0
3.8638 0.0000 0.0000
0.0000 3.8638 0.0000
0.0000 0.0000 10.0316
Pa Al As O
2 2 2 2
Cartesian
0.9660 0.9660 1.3899
2.8979 2.8979 8.6417
0.9660 2.8979 5.0158
2.8979 0.9660 5.0158
0.9660 0.9660 7.2033
2.8979 2.8979 2.8283
0.9660 2.8979 0.0000
2.8979 0.9660 0.0000
```

---

(c)
Density functional theory data (GGA-PBE) for PaAlAsO after structural relaxation.

```
PaAlAsO
1.0
4.0575 0.0000 0.0000
0.0000 4.0575 0.0000
0.0000 0.0000 10.0558
Pa Al As O
2 2 2 2
Cartesian
1.0144 3.0431 0.0000
3.0431 1.0144 0.0000
1.0144 1.0144 4.5065
3.0431 3.0431 5.5494
1.0144 1.0144 2.1104
3.0431 3.0431 7.9454
1.0144 3.0431 5.0279
3.0431 1.0144 5.0279
```

---

Most stable: (b)

---

(a)
Density functional theory data (GGA-PBE) for AlAsPtO after structural relaxation.

```
AlAsPtO
1.0
2.8766 0.0000 0.0000
0.0000 6.7930 0.0000
0.0000 0.0000 6.1670
Al As Pt O
2 2 2 2
Cartesian
0.0000 1.0153 0.0000
0.0000 5.7776 3.0835
0.0000 2.7316 1.9581
0.0000 4.0613 5.0417
1.4383 2.1033 4.2114
1.4383 4.6897 1.1279
1.4383 0.0410 0.3629
1.4383 6.7519 3.4464
```

---

(b)
Density functional theory data (GGA-PBE) for AlAsPtO after structural relaxation.

```
AlAsPtO
1.0
3.6890 0.0000 0.0000
0.0000 3.6890 0.0000
0.0000 0.0000 9.2051
Al As Pt O
2 2 2 2
Cartesian
0.9222 0.9222 0.7416
2.7667 2.7667 8.4635
0.9222 0.9222 6.3871
2.7667 2.7667 2.8179
0.9222 2.7667 4.6025
2.7667 0.9222 4.6025
0.9222 2.7667 0.0000
2.7667 0.9222 0.0000
```

---

Most stable: (a)

---

(a)
Density functional theory data (GGA-PBE) for TaAlAsO after structural relaxation.

```
TaAlAsO
1.0
3.4099 0.0000 0.0000
0.0000 6.3443 0.0000
0.0000 0.0000 5.6204
Ta Al As O
2 2 2 2
Cartesian
0.0000 0.0260 0.0000
0.0000 6.3183 2.8102
1.7049 2.2509 3.8992
1.7049 4.0934 1.0890
1.7049 1.5993 1.3619
1.7049 4.7450 4.1721
0.0000 1.7691 4.2248
0.0000 4.5752 1.4146
```

---

(b)
Density functional theory data (GGA-PBE) for TaAlAsO after structural relaxation.

```
TaAlAsO
1.0
3.7886 0.0000 0.0000
0.0000 3.7886 0.0000
0.0000 0.0000 9.7408
Ta Al As O
2 2 2 2
Cartesian
0.9472 2.8415 0.0000
2.8415 0.9472 0.0000
0.9472 0.9472 4.2194
2.8415 2.8415 5.5214
0.9472 0.9472 1.8423
2.8415 2.8415 7.8985
0.9472 2.8415 4.8704
2.8415 0.9472 4.8704
```

---

Most stable: (b)

---

(a)
Density functional theory data (GGA-PBE) for AlTcAsO after structural relaxation.

```
AlTcAsO
1.0
3.4875 0.0000 0.0000
0.0000 3.4875 0.0000
0.0000 0.0000 9.4885
Al Tc As O
2 2 2 2
Cartesian
0.8719 2.6156 0.0000
2.6156 0.8719 0.0000
0.8719 0.8719 3.5208
2.6156 2.6156 5.9678
0.8719 0.8719 7.2531
2.6156 2.6156 2.2355
0.8719 2.6156 4.7443
2.6156 0.8719 4.7443
```

---

(b)
Density functional theory data (GGA-PBE) for AlTcAsO after structural relaxation.

```
AlTcAsO
1.0
4.4112 0.0000 0.0000
0.0000 5.3091 0.0000
0.0000 0.0000 5.0116
Al Tc As O
2 2 2 2
Cartesian
0.0000 0.9229 0.0000
0.0000 4.3863 2.5058
2.2056 0.9430 1.7863
2.2056 4.3661 4.2921
2.2056 1.8123 4.1881
2.2056 3.4968 1.6823
0.0000 0.7156 1.7744
0.0000 4.5935 4.2802
```

---

Most stable: (b)

---

(a)
Density functional theory data (GGA-PBE) for AlTcAsO after structural relaxation.

```
AlTcAsO
1.0
3.2432 0.0000 0.0000
0.0000 5.8583 0.0000
0.0000 0.0000 6.0042
Al Tc As O
2 2 2 2
Cartesian
0.0000 0.9222 0.0000
0.0000 4.9361 3.0021
1.6216 2.9197 0.9032
1.6216 2.9386 3.9053
0.0000 1.5681 2.5822
0.0000 4.2902 5.5843
1.6216 1.3207 5.3277
1.6216 4.5376 2.3256
```

---

(b)
Density functional theory data (GGA-PBE) for AlTcAsO after structural relaxation.

```
AlTcAsO
1.0
3.6015 0.0000 0.0000
0.0000 3.6015 0.0000
0.0000 0.0000 9.1179
Al Tc As O
2 2 2 2
Cartesian
0.9004 0.9004 0.7725
2.7011 2.7011 8.3454
0.9004 2.7011 4.5589
2.7011 0.9004 4.5589
0.9004 0.9004 6.4043
2.7011 2.7011 2.7136
0.9004 2.7011 0.0000
2.7011 0.9004 0.0000
```

---

Most stable: (b)

---

(a)
Density functional theory data (GGA-PBE) for AlZnAsO after structural relaxation.

```
AlZnAsO
1.0
3.9020 0.0000 0.0000
0.0000 6.1297 0.0000
0.0000 0.0000 5.6105
Al Zn As O
2 2 2 2
Cartesian
0.0000 0.7469 0.0000
0.0000 5.3828 2.8053
1.9510 1.8382 2.3339
1.9510 4.2915 5.1391
1.9510 1.8820 4.7632
1.9510 4.2477 1.9580
0.0000 0.7902 1.8177
0.0000 5.3395 4.6230
```

---

(b)
Density functional theory data (GGA-PBE) for AlZnAsO after structural relaxation.

```
AlZnAsO
1.0
3.6410 0.0000 0.0000
0.0000 3.6410 0.0000
0.0000 0.0000 8.7300
Al Zn As O
2 2 2 2
Cartesian
0.9102 0.9102 0.7838
2.7307 2.7307 7.9461
0.9102 2.7307 4.3650
2.7307 0.9102 4.3650
0.9102 0.9102 6.1188
2.7307 2.7307 2.6111
0.9102 2.7307 0.0000
2.7307 0.9102 0.0000
```

---

Most stable: (a)

---

(a)
Density functional theory data (GGA-PBE) for AlZnAsO after structural relaxation.

```
AlZnAsO
1.0
4.0178 0.0000 0.0000
0.0000 4.0178 0.0000
0.0000 0.0000 9.0996
Al Zn As O
2 2 2 2
Cartesian
1.0045 3.0134 0.0000
3.0134 1.0045 0.0000
1.0045 1.0045 4.2616
3.0134 3.0134 4.8380
1.0045 1.0045 1.5322
3.0134 3.0134 7.5674
1.0045 3.0134 4.5498
3.0134 1.0045 4.5498
```

---

(b)
Density functional theory data (GGA-PBE) for AlZnAsO after structural relaxation.

```
AlZnAsO
1.0
3.5603 0.0000 0.0000
0.0000 6.0587 0.0000
0.0000 0.0000 6.0001
Al Zn As O
2 2 2 2
Cartesian
0.0000 1.2898 0.0000
0.0000 4.7688 3.0000
1.7802 2.1856 3.5396
1.7802 3.8731 0.5395
0.0000 1.0891 2.4291
0.0000 4.9696 5.4291
1.7802 1.9349 5.6167
1.7802 4.1237 2.6167
```

---

Most stable: (b)

---

(a)
Density functional theory data (GGA-PBE) for PmAlAs after structural relaxation.

```
PmAlAs
1.0
6.9304 0.0000 0.0000
0.0000 6.9304 0.0000
0.0000 0.0000 6.9304
Pm Al As
4 4 4
Cartesian
0.0000 0.0000 0.0000
0.0000 3.4652 3.4652
3.4652 0.0000 3.4652
3.4652 3.4652 0.0000
1.7326 1.7326 5.1978
1.7326 5.1978 1.7326
5.1978 1.7326 1.7326
5.1978 5.1978 5.1978
1.7326 1.7326 1.7326
1.7326 5.1978 5.1978
5.1978 1.7326 5.1978
5.1978 5.1978 1.7326
```

---

(b)
Density functional theory data (GGA-PBE) for PmAlAs after structural relaxation.

```
PmAlAs
1.0
6.7470 0.0000 0.0000
0.0000 6.7470 0.0000
0.0000 0.0000 6.7470
Pm Al As
4 4 4
Cartesian
0.0000 0.0000 0.0000
0.0000 3.3735 3.3735
3.3735 0.0000 3.3735
3.3735 3.3735 0.0000
1.6868 1.6868 5.0603
1.6868 5.0603 1.6868
5.0603 1.6868 1.6868
5.0603 5.0603 5.0603
0.0000 0.0000 3.3735
0.0000 3.3735 0.0000
3.3735 0.0000 0.0000
3.3735 3.3735 3.3735
```

---

Most stable: (b)

---

(a)
Density functional theory data (GGA-PBE) for AlTcAs after structural relaxation.

```
AlTcAs
1.0
5.8980 0.0000 0.0000
0.0000 5.8980 0.0000
0.0000 0.0000 5.8980
Al Tc As
4 4 4
Cartesian
0.0000 0.0000 0.0000
0.0000 2.9490 2.9490
2.9490 0.0000 2.9490
2.9490 2.9490 0.0000
0.0000 0.0000 2.9490
0.0000 2.9490 0.0000
2.9490 0.0000 0.0000
2.9490 2.9490 2.9490
1.4745 1.4745 1.4745
1.4745 4.4235 4.4235
4.4235 1.4745 4.4235
4.4235 4.4235 1.4745
```

---

(b)
Density functional theory data (GGA-PBE) for AlTcAs after structural relaxation.

```
AlTcAs
1.0
5.9492 0.0000 0.0000
0.0000 5.9492 0.0000
0.0000 0.0000 5.9492
Al Tc As
4 4 4
Cartesian
0.0000 0.0000 0.0000
0.0000 2.9746 2.9746
2.9746 0.0000 2.9746
2.9746 2.9746 0.0000
1.4873 1.4873 1.4873
1.4873 4.4619 4.4619
4.4619 1.4873 4.4619
4.4619 4.4619 1.4873
0.0000 0.0000 2.9746
0.0000 2.9746 0.0000
2.9746 0.0000 0.0000
2.9746 2.9746 2.9746
```

---

Most stable: (b)

---

(a)
Density functional theory data (GGA-PBE) for AlAsW after structural relaxation.

```
AlAsW
1.0
5.9824 0.0000 0.0000
0.0000 5.9824 0.0000
0.0000 0.0000 5.9824
Al As W
4 4 4
Cartesian
0.0000 0.0000 0.0000
0.0000 2.9912 2.9912
2.9912 0.0000 2.9912
2.9912 2.9912 0.0000
1.4956 1.4956 1.4956
1.4956 4.4868 4.4868
4.4868 1.4956 4.4868
4.4868 4.4868 1.4956
0.0000 0.0000 2.9912
0.0000 2.9912 0.0000
2.9912 0.0000 0.0000
2.9912 2.9912 2.9912
```

---

(b)
Density functional theory data (GGA-PBE) for AlAsW after structural relaxation.

```
AlAsW
1.0
6.0958 0.0000 0.0000
0.0000 6.0958 0.0000
0.0000 0.0000 6.0958
Al As W
4 4 4
Cartesian
0.0000 0.0000 0.0000
0.0000 3.0479 3.0479
3.0479 0.0000 3.0479
3.0479 3.0479 0.0000
0.0000 0.0000 3.0479
0.0000 3.0479 0.0000
3.0479 0.0000 0.0000
3.0479 3.0479 3.0479
1.5239 1.5239 1.5239
1.5239 4.5718 4.5718
4.5718 1.5239 4.5718
4.5718 4.5718 1.5239
```

---

Most stable: (a)